[1]
Compound: K2AlCr
Source: the Alexandria database
Functional: GGA-PBE
Structure: relaxed

a b c (Å): 4.607 4.649 5.812
angles (deg): 90.00 90.00 90.00
Space group Pmmm (No. 47)
One atom of each set of equivalent atoms:
K 0.000 0.000 0.000 [1 per cell]
K 0.500 0.500 0.000 [1 per cell]
Al 0.000 0.500 0.500 [1 per cell]
Cr 0.500 0.000 0.500 [1 per cell]

Output
Total magnetic moment in Bohr magnetons per cell: 4.378
Formation enthalpy at 0 K in eV/atom: 0.820

=====

[2]
Compound: KAl2Cr
Source: the Alexandria database
Functional: GGA-PBE
Structure: relaxed

a b c (Å): 2.957 4.301 7.706
angles (deg): 90.00 90.04 90.00
Space group Pm (No. 6)
One atom of each set of equivalent atoms:
K 0.000 0.000 0.000 [1 per cell]
Al 0.502 0.000 0.571 [1 per cell]
Al 0.502 0.500 0.334 [1 per cell]
Cr 0.002 0.500 0.612 [1 per cell]

Output
Total magnetic moment in Bohr magnetons per cell: 3.255
Formation enthalpy at 0 K in eV/atom: 0.377
Offset from the most stable computed form in eV per formula unit: 0.56

=====

[3]
Compound: KAlCr2
Source: the Alexandria database
Functional: GGA-PBE
Structure: relaxed

a b c (Å): 2.889 4.148 7.239
angles (deg): 90.00 96.76 90.00
Space group P2/m (No. 10)
One atom of each set of equivalent atoms:
K 0.000 0.000 0.000 [1 per cell]
Al 0.000 0.000 0.500 [1 per cell]
Cr 0.462 0.500 0.372 [2 per cell]

Output
Total magnetic moment in Bohr magnetons per cell: 0.659
Formation enthalpy at 0 K in eV/atom: 0.658

=====

[4]
Compound: KAlCr
Source: the Alexandria database
Functional: GGA-PBE
Structure: relaxed

a b c (Å): 7.150 7.150 7.150
angles (deg): 90.00 90.00 90.00
Space group F-43m (No. 216)
One atom of each set of equivalent atoms:
K 0.000 0.000 0.000 [4 per cell]
Al 0.000 0.000 0.500 [4 per cell]
Cr 0.250 0.250 0.250 [4 per cell]

Output
Total magnetic moment in Bohr magnetons per cell: 18.156
Formation enthalpy at 0 K in eV/atom: 1.079
Offset from the most stable computed form in eV per formula unit: 1.66

=====

[5]
Compound: KAl2Cr
Source: the Alexandria database
Functional: GGA-PBE
Structure: relaxed

a b c (Å): 3.102 3.102 8.680
angles (deg): 90.00 90.00 90.00
Space group P4/mmm (No. 123)
One atom of each set of equivalent atoms:
K 0.000 0.000 0.000 [1 per cell]
Al 0.500 0.500 0.330 [2 per cell]
Cr 0.000 0.000 0.500 [1 per cell]

Output
Total magnetic moment in Bohr magnetons per cell: 3.150
Formation enthalpy at 0 K in eV/atom: 0.236
Offset from the most stable computed form in eV per formula unit: 0.00

=====

[6]
Compound: KAlCr2
Source: the Alexandria database
Functional: GGA-PBE
Structure: relaxed

a b c (Å): 5.453 5.453 17.934
angles (deg): 90.00 90.00 90.00
Space group I4_1/amd (No. 141, origin choice 2)
One atom of each set of equivalent atoms:
K 0.000 0.250 0.375 [4 per cell]
Al 0.000 0.250 0.875 [4 per cell]
Cr 0.000 0.000 0.000 [8 per cell]

Output
Total magnetic moment in Bohr magnetons per cell: 34.460
Formation enthalpy at 0 K in eV/atom: 1.137

=====

Computed V, in the same sequence as the records: 31.12 24.50 21.54 30.45 20.89 33.33 A^3/atom.